Record 1
An optimized crystal structure of Ac3Cu2Au3, computed with PBE.

## Properties
- M_tot (μB per formula unit) = 0.0
- formation energy (eV/atom) = -0.605

Unit cell a=4.479 b=6.137 c=16.619 alpha=90.00 beta=90.00 gamma=111.40
Sites, in units of the cell vectors:
Au 0.598 0.197 0.445
Au 0.325 0.649 0.250
Au 0.402 0.803 0.945
Au 0.598 0.197 0.055
Au 0.402 0.803 0.555
Au 0.675 0.351 0.750
Ac 0.883 0.767 0.092
Ac 0.117 0.233 0.908
Ac 0.387 0.774 0.750
Ac 0.883 0.767 0.408
Ac 0.613 0.226 0.250
Ac 0.117 0.233 0.592
Cu 0.181 0.361 0.384
Cu 0.181 0.361 0.116
Cu 0.819 0.639 0.616
Cu 0.819 0.639 0.884

---

Record 2
An optimized crystal structure of AcCu2Au4, computed with PBE.

## Properties
- M_tot (μB per formula unit) = 0.0
- formation energy (eV/atom) = -0.040

Unit cell a=6.418 b=6.418 c=6.418 alpha=99.32 beta=99.32 gamma=132.54
Sites, in units of the cell vectors:
Au 0.737 0.500 0.237
Au 0.500 0.263 0.763
Au 0.500 0.737 0.237
Au 0.263 0.500 0.763
Cu 0.250 0.750 0.500
Cu 0.750 0.250 0.500
Ac 0.000 0.000 0.000

---

Record 3
An optimized crystal structure of Ac4CuAu2, computed with PBE.

## Properties
- M_tot (μB per formula unit) = 0.0
- formation energy (eV/atom) = -0.255

Unit cell a=5.759 b=5.759 c=8.720 alpha=109.28 beta=109.28 gamma=90.00
Sites, in units of the cell vectors:
Cu 0.000 0.000 0.000
Au 0.397 0.397 0.794
Au 0.603 0.603 0.206
Ac 0.500 0.000 0.000
Ac 0.000 0.500 0.000
Ac 0.801 0.801 0.601
Ac 0.199 0.199 0.399

---

Record 4
An optimized crystal structure of Ac6CuAu2, computed with PBE.

## Properties
- M_tot (μB per formula unit) = 0.0
- formation energy (eV/atom) = -0.344

Unit cell a=7.161 b=8.141 c=11.195 alpha=90.00 beta=86.98 gamma=90.00
Sites, in units of the cell vectors:
Cu 0.500 0.500 0.000
Cu 0.000 0.000 0.500
Ac 0.161 0.332 0.566
Ac 0.836 0.699 0.069
Ac 0.343 0.547 0.257
Ac 0.839 0.668 0.434
Ac 0.164 0.301 0.931
Ac 0.661 0.168 0.066
Ac 0.843 0.953 0.757
Ac 0.657 0.453 0.743
Ac 0.664 0.199 0.431
Ac 0.339 0.832 0.934
Ac 0.336 0.801 0.569
Ac 0.157 0.047 0.243
Au 0.068 0.613 0.771
Au 0.932 0.387 0.229
Au 0.432 0.113 0.729
Au 0.568 0.887 0.271

---

Record 5
An optimized crystal structure of Ac5CuAu4, computed with PBE.

## Properties
- M_tot (μB per formula unit) = 0.0
- formation energy (eV/atom) = -0.635

Unit cell a=3.884 b=3.884 c=19.591 alpha=90.00 beta=90.00 gamma=90.00
Sites, in units of the cell vectors:
Ac 0.500 0.500 0.298
Ac 0.500 0.500 0.097
Ac 0.500 0.500 0.702
Ac 0.500 0.500 0.903
Ac 0.500 0.500 0.500
Au 0.000 0.000 0.804
Au 0.000 0.000 0.601
Au 0.000 0.000 0.399
Au 0.000 0.000 0.196
Cu 0.000 0.000 0.000

---

Record 6
An optimized crystal structure of Ac4CuAu, computed with PBE.

## Properties
- M_tot (μB per formula unit) = 0.0
- formation energy (eV/atom) = -0.111

Unit cell a=5.375 b=5.378 c=7.639 alpha=89.97 beta=89.99 gamma=90.00
Sites, in units of the cell vectors:
Ac 0.001 0.498 0.743
Ac 0.501 0.997 0.253
Ac 0.501 0.998 0.743
Ac 0.001 0.497 0.253
Cu 0.002 0.996 0.498
Au 0.501 0.498 0.998

---

Record 7
An optimized crystal structure of AcCu4Au8, computed with PBE.

## Properties
- M_tot (μB per formula unit) = 0.0
- formation energy (eV/atom) = -0.268

Unit cell a=5.401 b=7.096 c=7.096 alpha=81.67 beta=67.63 gamma=67.63
Sites, in units of the cell vectors:
Au 0.500 0.223 0.777
Au 0.277 0.223 0.223
Au 0.000 0.658 0.342
Au 0.658 0.342 0.342
Au 0.342 0.658 0.658
Au 0.000 0.342 0.658
Au 0.500 0.777 0.223
Au 0.723 0.777 0.777
Ac 0.000 0.000 0.000
Cu 0.000 0.000 0.500
Cu 0.000 0.500 0.000
Cu 0.500 0.500 0.000
Cu 0.500 0.000 0.500

---

Record 8
An optimized crystal structure of AcCuAu3, computed with PBE.

## Properties
- E above lowest polymorph (meV/atom) = 37
- M_tot (μB per formula unit) = 0.0
- formation energy (eV/atom) = -0.443

Unit cell a=5.558 b=8.854 c=7.052 alpha=128.89 beta=113.21 gamma=90.00
Sites, in units of the cell vectors:
Cu 0.500 0.000 0.000
Cu 0.000 0.500 0.000
Au 0.241 0.741 0.983
Au 0.759 0.259 0.017
Au 0.259 0.259 0.017
Au 0.750 0.105 0.500
Au 0.741 0.741 0.983
Au 0.250 0.895 0.500
Ac 0.750 0.713 0.500
Ac 0.250 0.287 0.500

---

Record 9
An optimized crystal structure of Ac3Cu2Au4, computed with PBE.

## Properties
- M_tot (μB per formula unit) = 0.0
- formation energy (eV/atom) = -0.669

Unit cell a=4.694 b=6.199 c=9.005 alpha=107.07 beta=90.00 gamma=112.25
Sites, in units of the cell vectors:
Au 0.062 0.123 0.383
Au 0.716 0.431 0.067
Au 0.284 0.569 0.933
Au 0.938 0.877 0.617
Ac 0.335 0.669 0.334
Ac 0.665 0.331 0.666
Ac 0.000 0.000 0.000
Cu 0.609 0.218 0.283
Cu 0.391 0.782 0.717

---

Record 10
An optimized crystal structure of Ac3CuAu, computed with PBE.

## Properties
- M_tot (μB per formula unit) = 0.0
- formation energy (eV/atom) = -0.352

Unit cell a=4.203 b=9.036 c=9.040 alpha=83.23 beta=89.98 gamma=103.46
Sites, in units of the cell vectors:
Ac 0.622 0.279 0.757
Ac 0.081 0.194 0.389
Ac 0.964 0.960 0.032
Ac 0.787 0.607 0.400
Ac 0.422 0.875 0.664
Ac 0.257 0.547 0.022
Au 0.431 0.894 0.302
Au 0.614 0.260 0.120
Cu 0.801 0.636 0.766
Cu 0.242 0.518 0.655

---

Record 11
An optimized crystal structure of Ac4Cu2Au5, computed with PBE.

## Properties
- M_tot (μB per formula unit) = 0.0
- formation energy (eV/atom) = -0.654

Unit cell a=4.188 b=7.762 c=9.100 alpha=88.39 beta=90.00 gamma=90.00
Sites, in units of the cell vectors:
Au 0.000 0.115 0.130
Au 0.000 0.500 0.000
Au 0.000 0.885 0.870
Au 0.000 0.597 0.362
Au 0.000 0.403 0.638
Cu 0.000 0.064 0.619
Cu 0.000 0.936 0.381
Ac 0.500 0.771 0.132
Ac 0.500 0.229 0.868
Ac 0.500 0.261 0.376
Ac 0.500 0.739 0.624

---

Record 12
An optimized crystal structure of AcCuAu11, computed with PBE.

## Properties
- M_tot (μB per formula unit) = 0.0
- formation energy (eV/atom) = -0.245

Unit cell a=5.664 b=7.267 c=7.317 alpha=81.38 beta=67.23 gamma=67.21
Sites, in units of the cell vectors:
Au 0.000 0.500 0.000
Au 0.635 0.356 0.340
Au 0.495 0.779 0.213
Au 0.365 0.644 0.660
Au 0.708 0.779 0.787
Au 0.500 0.000 0.500
Au 0.505 0.221 0.787
Au 0.000 0.000 0.500
Au 0.292 0.221 0.213
Au 0.025 0.644 0.340
Au 0.975 0.356 0.660
Ac 0.000 0.000 0.000
Cu 0.500 0.500 0.000

---

Record 13
An optimized crystal structure of Ac8Cu2Au, computed with PBE.

## Properties
- M_tot (μB per formula unit) = 0.0
- formation energy (eV/atom) = -0.128

Unit cell a=5.596 b=7.404 c=10.269 alpha=105.42 beta=105.81 gamma=90.00
Sites, in units of the cell vectors:
Ac 0.968 0.215 0.936
Ac 0.032 0.785 0.064
Ac 0.672 0.992 0.345
Ac 0.200 0.350 0.401
Ac 0.328 0.008 0.655
Ac 0.591 0.460 0.182
Ac 0.409 0.540 0.818
Ac 0.800 0.650 0.599
Cu 0.820 0.257 0.640
Cu 0.180 0.743 0.360
Au 0.500 0.000 0.000

---

Record 14
An optimized crystal structure of AcCuAu3, computed with PBE.

## Properties
- E above lowest polymorph (meV/atom) = 114
- M_tot (μB per formula unit) = 0.0
- formation energy (eV/atom) = -0.367

Unit cell a=4.924 b=4.924 c=4.924 alpha=90.00 beta=90.00 gamma=90.00
Sites, in units of the cell vectors:
Cu 0.000 0.000 0.000
Au 0.000 0.500 0.000
Au 0.500 0.000 0.000
Au 0.000 0.000 0.500
Ac 0.500 0.500 0.500

---

Record 15
An optimized crystal structure of Ac6Cu2Au, computed with PBE.

## Properties
- M_tot (μB per formula unit) = 0.0
- formation energy (eV/atom) = -0.189

Unit cell a=9.275 b=9.275 c=9.275 alpha=107.55 beta=109.09 gamma=111.81
Sites, in units of the cell vectors:
Ac 0.819 0.751 0.570
Ac 0.555 0.728 0.826
Ac 0.098 0.272 0.826
Ac 0.902 0.728 0.174
Ac 0.819 0.249 0.068
Ac 0.313 0.641 0.328
Ac 0.687 0.014 0.328
Ac 0.181 0.751 0.932
Ac 0.181 0.249 0.430
Ac 0.313 0.986 0.672
Ac 0.445 0.272 0.174
Ac 0.687 0.359 0.672
Cu 0.347 0.000 0.347
Cu 0.500 0.614 0.114
Cu 0.500 0.386 0.886
Cu 0.653 0.000 0.653
Au 0.000 0.500 0.500
Au 0.000 0.000 0.000

---

Record 16
An optimized crystal structure of Ac2Cu3Au, computed with PBE.

## Properties
- M_tot (μB per formula unit) = 0.0
- formation energy (eV/atom) = -0.389

Unit cell a=6.078 b=6.078 c=8.802 alpha=108.19 beta=108.19 gamma=95.49
Sites, in units of the cell vectors:
Cu 0.161 0.678 0.839
Cu 0.678 0.161 0.839
Cu 0.839 0.322 0.161
Cu 0.322 0.839 0.161
Cu 0.161 0.161 0.322
Cu 0.839 0.839 0.678
Ac 0.249 0.249 0.000
Ac 0.250 0.750 0.500
Ac 0.750 0.250 0.500
Ac 0.751 0.751 0.000
Au 0.333 0.333 0.666
Au 0.667 0.667 0.334

---

Record 17
An optimized crystal structure of AcErCuAu, computed with PBE.

## Properties
- M_tot (μB per formula unit) = 0.0
- formation energy (eV/atom) = -0.420

Unit cell a=5.248 b=5.248 c=5.248 alpha=60.00 beta=60.00 gamma=60.00
Sites, in units of the cell vectors:
Cu 0.250 0.250 0.250
Er 0.000 0.000 0.000
Au 0.750 0.750 0.750
Ac 0.500 0.500 0.500

---

Record 18
An optimized crystal structure of AcEuCuAu, computed with PBE.

## Properties
- M_tot (μB per formula unit) = 7.0
- formation energy (eV/atom) = -0.437

Unit cell a=5.360 b=5.360 c=5.360 alpha=60.00 beta=60.00 gamma=60.00
Each line ends with the local moment (μB).
Sites, in units of the cell vectors:
Ac 0.500 0.500 0.500  -0.01
Cu 0.250 0.250 0.250  0.01
Eu 0.000 0.000 0.000  -6.83
Au 0.750 0.750 0.750  0.00

---

Record 19
An optimized crystal structure of Ac3Ga2CuAu6, computed with PBE.

## Properties
- M_tot (μB per formula unit) = 0.0
- formation energy (eV/atom) = -0.506

Unit cell a=6.499 b=6.499 c=8.338 alpha=90.00 beta=90.00 gamma=120.00
Sites, in units of the cell vectors:
Au 0.821 0.179 0.701
Au 0.357 0.179 0.701
Au 0.643 0.821 0.299
Au 0.821 0.643 0.701
Au 0.179 0.821 0.299
Au 0.179 0.357 0.299
Ga 0.333 0.667 0.051
Ga 0.667 0.333 0.949
Ac 0.333 0.667 0.651
Ac 0.667 0.333 0.349
Ac 0.000 0.000 0.000
Cu 0.000 0.000 0.500

---

Record 20
An optimized crystal structure of Ac2Ga4Cu3Au, computed with PBE.

## Properties
- M_tot (μB per formula unit) = 0.0
- formation energy (eV/atom) = -0.460

Unit cell a=4.466 b=4.466 c=10.268 alpha=90.00 beta=90.00 gamma=90.00
Sites, in units of the cell vectors:
Au 0.500 0.500 0.500
Cu 0.500 0.000 0.877
Cu 0.000 0.000 0.500
Cu 0.000 0.500 0.123
Ga 0.500 0.500 0.000
Ga 0.000 0.000 0.000
Ga 0.000 0.500 0.366
Ga 0.500 0.000 0.634
Ac 0.000 0.500 0.751
Ac 0.500 0.000 0.249

---

Record 21
An optimized crystal structure of Ac2GaCuAu6, computed with PBE.

## Properties
- M_tot (μB per formula unit) = 0.0
- formation energy (eV/atom) = -0.497

Unit cell a=6.997 b=7.093 c=7.090 alpha=48.17 beta=76.27 gamma=95.81
Sites, in units of the cell vectors:
Ga 0.500 0.500 0.000
Ac 0.717 0.255 0.536
Ac 0.283 0.745 0.464
Au 0.256 0.255 0.500
Au 0.104 0.244 0.143
Au 0.744 0.243 0.004
Au 0.744 0.745 0.500
Au 0.256 0.757 0.996
Au 0.896 0.756 0.857
Cu 0.000 0.000 0.000

---

Record 22
An optimized crystal structure of AcGa4CuAu2, computed with PBE.

## Properties
- M_tot (μB per formula unit) = 0.0
- formation energy (eV/atom) = -0.343

Unit cell a=4.521 b=4.521 c=9.452 alpha=76.16 beta=76.16 gamma=60.00
Sites, in units of the cell vectors:
Cu 0.500 0.500 0.500
Au 0.243 0.243 0.272
Au 0.757 0.757 0.728
Ac 0.000 0.000 0.000
Ga 0.406 0.406 0.781
Ga 0.594 0.594 0.219
Ga 0.135 0.135 0.594
Ga 0.865 0.865 0.406